## TlPb (PBEsol)

Data for crystalline TlPb at its relaxed geometry.

## Properties
Symmetry: P2_13, No. 198
Density of states at the Fermi level in states/eV per atom: 0.569
Calculated formation energy in kcal/mol of atoms: 1.30

POSCAR file:
```
TlPb
1.0
6.170 0.000 0.000
0.000 6.170 0.000
0.000 0.000 6.170
Tl Pb
4 4
Cartesian
0.609 0.609 0.609
2.476 5.561 3.694
3.694 2.476 5.561
5.561 3.694 2.476
0.616 3.701 5.554
2.469 2.469 2.469
3.701 5.554 0.616
5.554 0.616 3.701
```

---

## TaAsPb2 (PBEsol)

Data for crystalline TaAsPb2 at its relaxed geometry.

## Properties
Symmetry: Cmm2, No. 35
Density of states at the Fermi level in states/eV per atom: 0.531
Calculated formation energy in kcal/mol of atoms: 3.91

POSCAR file:
```
TaAsPb2
1.0
3.701 0.000 0.000
0.000 5.073 0.000
0.000 0.000 10.020
Ta As Pb
2 2 4
Cartesian
0.000 0.000 0.000
1.850 2.536 0.000
0.000 2.536 8.254
1.850 0.000 8.254
0.000 0.000 5.445
0.000 2.536 2.373
1.850 0.000 2.373
1.850 2.536 5.445
```

---

## Li2TiNb2 (PBEsol)

Data for crystalline Li2TiNb2 at its relaxed geometry.

## Properties
Symmetry: I4/mmm, No. 139
Density of states at the Fermi level in states/eV per atom: 1.085
Calculated formation energy in kcal/mol of atoms: 15.64

POSCAR file:
```
Li2TiNb2
1.0
3.878 0.000 0.000
0.000 3.878 0.000
0.000 0.000 10.532
Li Ti Nb
4 2 4
Cartesian
0.000 0.000 0.891
0.000 0.000 9.641
1.939 1.939 4.375
1.939 1.939 6.156
0.000 0.000 5.266
1.939 1.939 0.000
0.000 1.939 2.633
0.000 1.939 7.899
1.939 0.000 2.633
1.939 0.000 7.899
```